[1]
Below is a relaxed structure of Pm2Sm12Tm, with properties calculated at the PBE-GGA level.

The structure in POSCAR format:
```
Pm2Sm12Tm
1.0
-6.193 2.691 -0.733
0.769 -4.441 5.081
6.276 18.614 15.319
Pm Sm Tm
4 24 2
direct
0.500 0.000 0.728
0.500 0.000 0.265
0.000 0.500 0.272
0.000 0.500 0.735
0.000 0.000 0.674
0.000 0.000 0.802
0.231 0.731 0.584
0.500 0.500 0.198
0.749 0.751 0.075
0.751 0.749 0.925
0.251 0.249 0.075
0.731 0.231 0.416
0.000 0.000 0.326
0.249 0.251 0.925
0.000 0.000 0.198
0.769 0.269 0.584
0.273 0.227 0.560
0.749 0.249 0.874
0.249 0.749 0.126
0.500 0.500 0.802
0.269 0.769 0.416
0.500 0.500 0.674
0.751 0.251 0.126
0.727 0.773 0.560
0.773 0.727 0.440
0.500 0.500 0.326
0.227 0.273 0.440
0.251 0.751 0.874
0.500 0.000 0.000
0.000 0.500 0.000
```

Summary:
- Magnetization: 0.0 μB/cell
- E: -4.5490 eV per atom
- Volume: 1030.15 Å³ per cell

***

[2]
Below is a relaxed structure of TaW, with properties calculated at the PBE-GGA level.

The structure in POSCAR format:
```
TaW
1.0
-2.065 -1.479 1.293
3.133 -2.257 2.421
0.458 4.177 3.300
Ta W
2 2
direct
0.632 0.750 0.873
0.368 0.250 0.127
0.119 0.750 0.377
0.881 0.250 0.623
```

Summary:
- Magnetization: 0.0 μB/cell
- E: -12.4759 eV per atom
- Volume: 68.16 Å³ per cell

***

[3]
Below is a relaxed structure of KCuH2, with properties calculated at the PBE-GGA level.

The structure in POSCAR format:
```
KCuH2
1.0
5.396 0.000 0.000
0.000 5.396 0.000
2.698 2.698 3.791
K H Cu
2 4 2
direct
0.500 0.500 0.000
0.250 0.750 0.500
0.875 0.065 0.750
0.815 0.125 0.250
0.935 0.625 0.250
0.375 0.185 0.750
0.000 0.000 0.000
0.750 0.250 0.500
```

Summary:
- Magnetization: 0.0 μB/cell
- E: -3.0820 eV per atom
- Volume: 110.36 Å³ per cell
- Offset from the most stable computed form: 0 meV per atom

***

[4]
Below is a relaxed structure of La3Pm6HoEr2, with properties calculated at the PBE-GGA level.

The structure in POSCAR format:
```
La3Pm6HoEr2
1.0
-4.245 1.588 -4.397
4.836 -3.776 -1.492
-6.727 -8.763 4.844
Pm Er Ho La
6 2 1 3
direct
0.414 0.081 0.243
0.747 0.747 0.243
0.081 0.414 0.243
0.919 0.586 0.757
0.586 0.919 0.757
0.253 0.253 0.757
0.667 0.333 0.000
0.333 0.667 0.000
0.000 0.000 0.000
0.833 0.167 0.500
0.500 0.500 0.500
0.167 0.833 0.500
```

Summary:
- Magnetization: 0.0 μB/cell
- E: -4.7270 eV per atom
- Volume: 409.85 Å³ per cell

***

Which formula does entry 2 have?
TaW